Record 1
Entry from Alexandria via LeMat-Bulk: a geometry-optimized Y2HoZrSc4 structure (GGA-PBE).

Lattice parameters (Å, degrees): 5.637 5.637 6.920 90.04 90.04 104.83
Sites, in units of the cell vectors:
1 Y 0.000 0.000 0.000
2 Y 0.500 0.500 0.500
3 Ho 0.000 0.000 0.500
4 Zr 0.500 0.500 0.000
5 Sc 0.000 0.500 0.237
6 Sc 0.000 0.500 0.763
7 Sc 0.500 0.000 0.237
8 Sc 0.500 0.000 0.763

E_tot: -0.234 hartree per atom
formation energy from the elements: 0.064 eV/atom
Fermi-level density of states: 12.5 states/eV/cell

Record 2
Entry from Alexandria via LeMat-Bulk: a geometry-optimized YHo2ZrSc4 structure (GGA-PBE).

Lattice parameters (Å, degrees): 4.769 4.786 9.306 90.00 90.00 90.00
Sites, in units of the cell vectors:
1 Y 0.000 0.000 0.000
2 Ho 0.000 0.000 0.500
3 Ho 0.500 0.500 0.000
4 Zr 0.500 0.500 0.500
5 Sc 0.000 0.500 0.262
6 Sc 0.000 0.500 0.738
7 Sc 0.500 0.000 0.262
8 Sc 0.500 0.000 0.738

E_tot: -0.225 hartree per atom
formation energy from the elements: 0.055 eV/atom
Fermi-level density of states: 12.6 states/eV/cell

Record 3
Entry from Alexandria via LeMat-Bulk: a geometry-optimized Y6Ho3ZrSc2 structure (GGA-PBE).

Lattice parameters (Å, degrees): 6.017 6.017 11.493 94.99 94.99 119.93
Sites, in units of the cell vectors:
1 Y 0.080 0.410 0.240
2 Y 0.250 0.250 0.761
3 Y 0.410 0.080 0.240
4 Y 0.590 0.920 0.760
5 Y 0.750 0.750 0.239
6 Y 0.920 0.590 0.760
7 Ho 0.167 0.833 0.500
8 Ho 0.500 0.500 0.500
9 Ho 0.833 0.167 0.500
10 Zr 0.000 0.000 0.000
11 Sc 0.333 0.667 0.000
12 Sc 0.667 0.333 0.000

E_tot: -0.223 hartree per atom
formation energy from the elements: 0.064 eV/atom
Fermi-level density of states: 17.3 states/eV/cell

Record 4
Entry from Alexandria via LeMat-Bulk: a geometry-optimized HoSc2Zn3 structure (GGA-PBE).

Lattice parameters (Å, degrees): 7.647 7.647 6.857 90.00 90.00 143.24
Sites, in units of the cell vectors:
1 Ho 0.164 0.836 0.000
2 Ho 0.836 0.164 0.000
3 Sc 0.170 0.830 0.500
4 Sc 0.500 0.500 0.000
5 Sc 0.500 0.500 0.500
6 Sc 0.830 0.170 0.500
7 Zn 0.000 0.000 0.268
8 Zn 0.000 0.000 0.732
9 Zn 0.337 0.663 0.266
10 Zn 0.337 0.663 0.734
11 Zn 0.663 0.337 0.266
12 Zn 0.663 0.337 0.734

E_tot: -0.142 hartree per atom
formation energy from the elements: -0.355 eV/atom
Fermi-level density of states: 11.9 states/eV/cell

Record 5
Entry from Alexandria via LeMat-Bulk: a geometry-optimized HoScZn2 structure (GGA-PBE).

Lattice parameters (Å, degrees): 3.435 3.435 6.971 90.00 90.00 90.00
Sites, in units of the cell vectors:
1 Ho 0.000 0.000 0.000
2 Sc 0.000 0.000 0.500
3 Zn 0.500 0.500 0.274
4 Zn 0.500 0.500 0.726

E_tot: -0.137 hartree per atom
formation energy from the elements: -0.351 eV/atom
Fermi-level density of states: 3.8 states/eV/cell

Record 6
Entry from Alexandria via LeMat-Bulk: a geometry-optimized HoScZn17 structure (GGA-PBE).

Lattice parameters (Å, degrees): 6.744 6.744 6.744 82.59 82.59 82.59
Sites, in units of the cell vectors:
1 Ho 0.000 0.000 0.000
2 Sc 0.332 0.332 0.332
3 Zn 0.022 0.022 0.496
4 Zn 0.022 0.496 0.022
5 Zn 0.161 0.669 0.669
6 Zn 0.314 0.314 0.821
7 Zn 0.314 0.821 0.314
8 Zn 0.366 0.663 0.967
9 Zn 0.366 0.967 0.663
10 Zn 0.496 0.022 0.022
11 Zn 0.562 0.562 0.562
12 Zn 0.663 0.366 0.967
13 Zn 0.663 0.967 0.366
14 Zn 0.669 0.161 0.669
15 Zn 0.669 0.669 0.161
16 Zn 0.763 0.763 0.763
17 Zn 0.821 0.314 0.314
18 Zn 0.967 0.366 0.663
19 Zn 0.967 0.663 0.366

E_tot: -0.070 hartree per atom
formation energy from the elements: -0.196 eV/atom
Fermi-level density of states: 3.7 states/eV/cell

Record 7
Entry from Alexandria via LeMat-Bulk: a geometry-optimized HoSc3Zn4 structure (GGA-PBE).

Lattice parameters (Å, degrees): 4.794 4.794 6.858 90.00 90.00 90.00
Sites, in units of the cell vectors:
1 Ho 0.000 0.000 0.000
2 Sc 0.000 0.000 0.500
3 Sc 0.500 0.500 0.000
4 Sc 0.500 0.500 0.500
5 Zn 0.000 0.500 0.263
6 Zn 0.000 0.500 0.737
7 Zn 0.500 0.000 0.263
8 Zn 0.500 0.000 0.737

E_tot: -0.145 hartree per atom
formation energy from the elements: -0.358 eV/atom
Fermi-level density of states: 7.1 states/eV/cell

Record 8
Entry from Alexandria via LeMat-Bulk: a geometry-optimized HoScZn4 structure (GGA-PBE).

Lattice parameters (Å, degrees): 5.348 5.348 5.348 60.00 60.00 60.00
Sites, in units of the cell vectors:
1 Ho 0.000 0.000 0.000
2 Sc 0.250 0.250 0.250
3 Zn 0.126 0.625 0.625
4 Zn 0.625 0.126 0.625
5 Zn 0.625 0.625 0.126
6 Zn 0.625 0.625 0.625

E_tot: -0.110 hartree per atom
formation energy from the elements: -0.330 eV/atom
Fermi-level density of states: 4.0 states/eV/cell

Record 9
Entry from Alexandria via LeMat-Bulk: a geometry-optimized Ho9Sc4Zn11 structure (GGA-PBE).

Lattice parameters (Å, degrees): 12.942 12.942 3.351 90.00 90.00 110.63
Sites, in units of the cell vectors:
1 Ho 0.000 0.000 0.000
2 Ho 0.127 0.642 0.000
3 Ho 0.292 0.460 0.000
4 Ho 0.358 0.873 0.000
5 Ho 0.460 0.292 0.000
6 Ho 0.540 0.708 0.000
7 Ho 0.642 0.127 0.000
8 Ho 0.708 0.540 0.000
9 Ho 0.873 0.358 0.000
10 Sc 0.061 0.249 0.000
11 Sc 0.249 0.061 0.000
12 Sc 0.751 0.939 0.000
13 Sc 0.939 0.751 0.000
14 Zn 0.084 0.438 0.500
15 Zn 0.136 0.864 0.500
16 Zn 0.240 0.240 0.500
17 Zn 0.333 0.667 0.500
18 Zn 0.438 0.084 0.500
19 Zn 0.500 0.500 0.500
20 Zn 0.562 0.916 0.500
21 Zn 0.667 0.333 0.500
22 Zn 0.760 0.760 0.500
23 Zn 0.864 0.136 0.500
24 Zn 0.916 0.562 0.500

E_tot: -0.133 hartree per atom
formation energy from the elements: -0.253 eV/atom
Fermi-level density of states: 23.5 states/eV/cell

Record 10
Entry from Alexandria via LeMat-Bulk: a geometry-optimized HoScZn4 structure (GGA-PBE).

Lattice parameters (Å, degrees): 5.533 5.533 5.533 132.88 106.22 92.30
Sites, in units of the cell vectors:
1 Ho 0.000 0.000 0.000
2 Sc 0.500 0.000 0.500
3 Zn 0.092 0.334 0.758
4 Zn 0.425 0.666 0.758
5 Zn 0.575 0.334 0.242
6 Zn 0.908 0.666 0.242

E_tot: -0.111 hartree per atom
formation energy from the elements: -0.359 eV/atom
Fermi-level density of states: 4.1 states/eV/cell

Record 11
Entry from Alexandria via LeMat-Bulk: a geometry-optimized HoScZn4 structure (GGA-PBE).

Lattice parameters (Å, degrees): 3.311 4.434 7.670 90.00 90.00 90.00
Sites, in units of the cell vectors:
1 Ho 0.000 0.000 0.000
2 Sc 0.000 0.500 0.500
3 Zn 0.500 0.000 0.338
4 Zn 0.500 0.000 0.662
5 Zn 0.500 0.500 0.174
6 Zn 0.500 0.500 0.826

E_tot: -0.111 hartree per atom
formation energy from the elements: -0.356 eV/atom
Fermi-level density of states: 4.5 states/eV/cell

Record 12
Entry from Alexandria via LeMat-Bulk: a geometry-optimized HoSc5Zn4 structure (GGA-PBE).

Lattice parameters (Å, degrees): 3.357 3.357 18.313 90.00 90.00 90.00
Sites, in units of the cell vectors:
1 Ho 0.000 0.000 0.000
2 Sc 0.500 0.500 0.135
3 Sc 0.500 0.500 0.317
4 Sc 0.500 0.500 0.500
5 Sc 0.500 0.500 0.683
6 Sc 0.500 0.500 0.865
7 Zn 0.000 0.000 0.226
8 Zn 0.000 0.000 0.408
9 Zn 0.000 0.000 0.592
10 Zn 0.000 0.000 0.774

E_tot: -0.162 hartree per atom
formation energy from the elements: -0.281 eV/atom
Fermi-level density of states: 11.7 states/eV/cell